## ZnInNiH (GGA-PBE)

Data for a relaxed structure of ZnInNiH.

Calculated values
V in Å³ per atom: 13.56
Crystal system: monoclinic
Fermi-level density of states in states/eV/cell: 1.2
E in eV per atom: -3.255
Calculated density in g cm⁻³: 7.35

abc: 3.1438 3.3412 5.3572
angles: 90.00 105.47 90.00
With the nearest neighbours (Å) after each atom.
Fractional positions:
Zn: 0.0000 0.0000 0.0000  2 H 2.05-2.06
In: 0.7036 0.5000 0.3775  2 Ni 2.67-2.71, 2 H 2.96, 2 Zn 2.96
Ni: 0.4065 0.5000 0.7995  2 H 1.69
H: 0.3803 0.0000 0.7441  2 Ni 1.69